# 1
The following is a DFT calculation (PBE) of an optimized crystal structure of PmNdPt4.

Structure (CIF):
```
data_PmNdPt4
_symmetry_space_group_name_H-M 'P 1'
_symmetry_Int_Tables_number 1
_cell_length_a 5.509
_cell_length_b 5.509
_cell_length_c 5.509
_cell_angle_alpha 60.00
_cell_angle_beta 60.00
_cell_angle_gamma 60.00
loop_
_symmetry_equiv_pos_as_xyz
'x,y,z'
loop_
_atom_site_label
_atom_site_fract_x
_atom_site_fract_y
_atom_site_fract_z
Pt1 0.625 0.625 0.625
Nd1 0.250 0.250 0.250
Pt2 0.625 0.125 0.625
Pm1 0.000 0.000 0.000
Pt3 0.125 0.625 0.625
Pt4 0.625 0.625 0.125
```

Calculated values
DFT total energy	-6.69	eV/atom
V	19.7	Å³/atom
size of the total moment	0.00	μB per formula unit
space-group type	F-43m
E_form	-1.0714	eV per atom

# 2
The following is a DFT calculation (PBE) of an optimized crystal structure of KAlAg.

Structure (CIF):
```
data_KAlAg
_symmetry_space_group_name_H-M 'P 1'
_symmetry_Int_Tables_number 1
_cell_length_a 6.234
_cell_length_b 6.236
_cell_length_c 9.466
_cell_angle_alpha 90.00
_cell_angle_beta 109.23
_cell_angle_gamma 90.00
loop_
_symmetry_equiv_pos_as_xyz
'x,y,z'
loop_
_atom_site_label
_atom_site_fract_x
_atom_site_fract_y
_atom_site_fract_z
Al1 0.750 0.250 0.000
K1 0.170 0.500 0.340
K2 0.330 0.000 0.660
Ag1 0.087 0.000 0.174
Ag2 0.913 0.000 0.826
K3 0.830 0.500 0.660
Al2 0.250 0.250 0.000
Al3 0.750 0.750 0.000
K4 0.670 0.000 0.340
Ag3 0.587 0.500 0.174
Ag4 0.413 0.500 0.826
Al4 0.250 0.750 0.000
```

Calculated values
offset from the most stable computed form	0.000	eV per atom
DFT total energy	-2.47	eV/atom
V	29.0	Å³/atom
size of the total moment	0.00	μB per formula unit
space-group type	I4/mmm
E_form	0.0918	eV per atom